{
  "formula": "Tb2TiHg",
  "functional": "PBE",
  "state": "relaxed",
  "total_magnetization_mub_per_atom": 0.680,
  "delta_e_f_ev_per_atom": -0.0573,
  "n_ef_per_ev_fu": 5.2,
  "space_group": "No. 123",
  "lattice": [[-1.1514, -2.5235, 2.7285], [4.3506, 0.7684, 2.5465], [-2.1904, 3.8045, 2.5943]],
  "species": ["Tb", "Hg", "Ti", "Tb"],
  "fractional_positions": [[0.0000, 0.5000, 0.0000], [0.5000, 0.0000, 0.0000], [0.5000, 0.5000, 0.5000], [0.0000, 0.0000, 0.5000]]
}


{
  "formula": "CsRb2NaAu",
  "functional": "PBE",
  "state": "relaxed",
  "total_magnetization_mub_per_atom": 0.000,
  "delta_e_f_ev_per_atom": 0.0487,
  "n_ef_per_ev_fu": 3.4,
  "space_group": "No. 123",
  "lattice": [[7.3014, 0.0000, 0.0000], [0.0000, 7.3014, 0.0000], [0.0000, 0.0000, 5.7002]],
  "species": ["Na", "Au", "Rb", "Rb", "Cs"],
  "fractional_positions": [[0.0000, 0.0000, 0.0000], [0.0000, 0.0000, 0.5000], [0.0000, 0.5000, 0.0000], [0.5000, 0.0000, 0.0000], [0.5000, 0.5000, 0.5000]]
}


{
  "formula": "Hf4Ga2H",
  "functional": "PBE",
  "state": "relaxed",
  "total_magnetization_mub_per_atom": 0.000,
  "n_ef_per_ev_fu": 4.1,
  "e_tot_ev_per_atom": -7.2761,
  "space_group": "No. 12",
  "lattice": [[-0.5294, 0.2338, -3.1623], [3.2131, -4.5624, -0.8753], [-6.9877, -1.8071, 2.6704]],
  "species": ["Hf", "Hf", "Hf", "Hf", "Ga", "H", "Ga"],
  "fractional_positions": [[0.0886, 0.7517, 0.1772], [0.9114, 0.2483, 0.8228], [0.4127, 0.7385, 0.8254], [0.5873, 0.2615, 0.1746], [0.2488, 0.2459, 0.4977], [0.0000, 0.0000, 0.0000], [0.7512, 0.7541, 0.5023]]
}